First-principles (PBE) data for a relaxed Hf2InPd2 crystal, as listed in the Alexandria database.

Summary:
formation energy from the elements: -0.388 eV per atom
size of the total moment: 0.00 Bohr magnetons per cell

Cell lengths 7.965, 7.965, 3.160 Å; angles 90.00, 90.00, 90.00 degrees
Fractional positions:
Hf  0.842  0.658  0.000
Hf  0.658  0.158  0.000
Hf  0.158  0.342  0.000
Hf  0.342  0.842  0.000
Pd  0.132  0.632  0.500
Pd  0.868  0.368  0.500
Pd  0.368  0.132  0.500
Pd  0.632  0.868  0.500
In  0.000  0.000  0.000
In  0.500  0.500  0.000